TbEr2Mg3Tl2In | OQMD | PBE-GGA | optimized geometry; SG = Amm2, No. 38; total moment = 0.00 μB/f.u.; E = -3.210 eV per atom
1.0
4.658 0.000 0.000
0.000 6.503 3.745
0.000 -6.503 3.745
Mg Er Tl In Tb
3 2 2 1 1
Direct
0.500 0.241 0.000
0.500 0.759 0.759
0.500 0.000 0.241
0.000 0.000 0.566
0.000 0.566 0.000
0.500 0.333 0.667
0.500 0.667 0.333
0.000 0.999 0.999
0.000 0.434 0.434


ErTm2Mg3In3 | OQMD | PBE-GGA | optimized geometry; SG = Amm2, No. 38; total moment = 0.00 μB/f.u.; E = -3.292 eV per atom
1.0
-1.328 -4.151 -1.602
7.008 -2.464 0.572
-4.692 -0.715 5.743
In Mg Tm Er
3 3 2 1
Direct
0.500 0.333 0.667
0.500 0.667 0.333
0.000 0.999 0.999
0.500 0.000 0.242
0.500 0.758 0.758
0.500 0.242 0.000
0.000 0.564 0.000
0.000 0.000 0.564
0.000 0.437 0.437


Repeat the second record exactly.
ErTm2Mg3In3 | OQMD | PBE-GGA | optimized geometry; SG = Amm2, No. 38; total moment = 0.00 μB/f.u.; E = -3.292 eV per atom
1.0
-1.328 -4.151 -1.602
7.008 -2.464 0.572
-4.692 -0.715 5.743
In Mg Tm Er
3 3 2 1
Direct
0.500 0.333 0.667
0.500 0.667 0.333
0.000 0.999 0.999
0.500 0.000 0.242
0.500 0.758 0.758
0.500 0.242 0.000
0.000 0.564 0.000
0.000 0.000 0.564
0.000 0.437 0.437


- Among the records above, which one has the lowest E?
  ErTm2Mg3In3


- Which of these has the highest E?
  TbEr2Mg3Tl2In